# Rb2TiVF6, optimized geometry, DFT GGA+U
# - uncorrected energy (eV per atom) = -5.602
# - crystal system = tetragonal
# - total magnetic moment (μB per atom) = 0.5000
data_Rb2TiVF6
_chemical_formula_sum 'Rb2 Ti1 V1 F6'
_cell_length_a 6.056
_cell_length_b 6.056
_cell_length_c 6.056
_cell_angle_alpha 119.95
_cell_angle_beta 119.95
_cell_angle_gamma 90.09
_symmetry_space_group_name_H-M 'P 1'
_symmetry_Int_Tables_number 1
loop_
_symmetry_equiv_pos_as_xyz
'x,y,z'
loop_
_atom_site_label
_atom_site_type_symbol
_atom_site_fract_x
_atom_site_fract_y
_atom_site_fract_z
Rb1 Rb 0.250 0.750 0.500
Rb2 Rb 0.750 0.250 0.500
Ti1 Ti 0.000 0.000 0.000
V1 V 0.500 0.500 0.000
F1 F 0.251 0.251 0.000
F2 F 0.251 0.251 0.502
F3 F 0.251 0.749 0.000
F4 F 0.749 0.251 0.000
F5 F 0.749 0.749 0.000
F6 F 0.749 0.749 0.498